A plane-wave DFT calculation with PBE was carried out for a geometry-optimized LaBe2Re structure.

Cell: 3.4175 3.3207 6.0246 Å, 74.22 90.00 90.00°
Positions (direct):
Be  0.5000  0.1055  0.1647
Be  0.0000  0.2040  0.9641
Re  0.5000  0.7382  0.8963
La  0.0000  0.4524  0.4749

Properties
E = -6.02 eV/atom



A plane-wave DFT calculation with PBE was carried out for a geometry-optimized LaBeRe4 structure.

Cell: 5.3613 5.3613 5.3613 Å, 60.00 60.00 60.00°
Positions (direct):
Be  0.7500  0.7500  0.7500
Re  0.8729  0.3757  0.3757
Re  0.3757  0.3757  0.8729
Re  0.3757  0.3757  0.3757
Re  0.3757  0.8729  0.3757
La  0.0000  0.0000  0.0000

Properties
E = -9.23 eV/atom



A plane-wave DFT calculation with PBE was carried out for a geometry-optimized La2BeRe structure.

Cell: 7.8215 7.8215 7.8215 Å, 30.50 30.50 30.50°
Positions (direct):
Be  0.7920  0.7920  0.7920
La  0.2091  0.2091  0.2091
La  0.0409  0.0409  0.0409
Re  0.4580  0.4580  0.4580

Properties
E = -6.43 eV/atom



A plane-wave DFT calculation with PBE was carried out for a geometry-optimized LaBe2Re structure.

Cell: 4.7626 4.7626 4.7626 Å, 127.45 127.45 77.52°
Positions (direct):
Re  0.7500  0.2500  0.5000
La  0.5000  0.5000  0.0000
Be  0.2500  0.7500  0.5000
Be  0.0000  0.0000  0.0000

Properties
E = -5.40 eV/atom



A plane-wave DFT calculation with PBE was carried out for a geometry-optimized LaBeRe structure.

Cell: 4.5476 4.5476 4.5476 Å, 60.00 60.00 60.00°
Positions (direct):
La  0.7500  0.7500  0.7500
Be  0.5000  0.5000  0.5000
Re  0.0000  0.0000  0.0000

Properties
E = -5.29 eV/atom



A plane-wave DFT calculation with PBE was carried out for a geometry-optimized La2BeRe structure.

Cell: 3.5992 3.5974 8.1030 Å, 63.50 90.00 90.00°
Positions (direct):
Be  0.5000  0.7500  0.7500
La  0.0000  0.9897  0.0090
La  0.0000  0.5103  0.4910
Re  0.5000  0.2500  0.2500

Properties
E = -6.08 eV/atom



| no. | formation energy (meV/atom) |
| --- | --- |
| 1 | 186 |
| 2 | 515 |
| 3 | 73 |
| 4 | 803 |
| 5 | 1740 |
| 6 | 430 |